Record 1
Below is AgGeB after structural relaxation, with properties calculated at the PBE-GGA level.

Unit cell a=6.271 b=3.091 c=5.805 alpha=106.66 beta=67.10 gamma=90.61
Sites, in units of the cell vectors:
Ge 0.793 0.020 0.342
Ge 0.222 0.846 0.021
B 0.844 0.847 0.726
B 0.832 0.332 0.702
Ag 0.537 0.396 0.139
Ag 0.239 0.124 0.596

Record 2
Below is AgGeB after structural relaxation, with properties calculated at the PBE-GGA level.

Unit cell a=3.465 b=3.104 c=9.396 alpha=90.00 beta=100.47 gamma=90.00
Sites, in units of the cell vectors:
Ge 0.593 0.000 0.264
Ge 0.891 0.500 0.854
B 0.004 0.500 0.085
B 0.029 0.000 0.135
Ag 0.710 0.500 0.498
Ag 0.312 0.000 0.696

Record 3
Below is AgGeB after structural relaxation, with properties calculated at the PBE-GGA level.

Unit cell a=6.072 b=3.065 c=6.340 alpha=90.01 beta=121.46 gamma=75.44
Sites, in units of the cell vectors:
Ge 0.897 0.016 0.427
Ge 0.151 0.389 0.060
B 0.737 0.596 0.737
B 0.809 0.060 0.716
Ag 0.536 0.696 0.024
Ag 0.337 0.295 0.562

Record 4
Below is AgGeB after structural relaxation, with properties calculated at the PBE-GGA level.

Unit cell a=9.008 b=3.563 c=6.207 alpha=90.00 beta=90.00 gamma=90.00
Sites, in units of the cell vectors:
Ge 0.250 0.250 0.140
Ge 0.250 0.750 0.640
Ge 0.750 0.750 0.860
Ge 0.750 0.250 0.360
B 0.750 0.250 0.689
B 0.750 0.750 0.189
B 0.250 0.750 0.311
B 0.250 0.250 0.811
Ag 0.000 0.250 0.748
Ag 0.500 0.750 0.248
Ag 0.000 0.750 0.252
Ag 0.500 0.250 0.752

Record 5
Below is AgGeB after structural relaxation, with properties calculated at the PBE-GGA level.

Unit cell a=3.538 b=3.538 c=8.619 alpha=90.00 beta=90.00 gamma=120.00
Sites, in units of the cell vectors:
Ge 0.333 0.667 0.750
Ge 0.667 0.333 0.250
B 0.333 0.667 0.250
B 0.667 0.333 0.750
Ag 0.000 0.000 0.000
Ag 0.000 0.000 0.500

Record 6
Below is AgGeB after structural relaxation, with properties calculated at the PBE-GGA level.

Unit cell a=5.716 b=5.933 c=3.072 alpha=74.97 beta=74.40 gamma=86.01
Sites, in units of the cell vectors:
Ge 0.651 0.790 0.934
Ge 0.049 0.790 0.235
B 0.350 0.050 0.954
B 0.350 0.137 0.411
Ag 0.615 0.391 0.651
Ag 0.084 0.390 0.917

Record 7
Below is AgGeB after structural relaxation, with properties calculated at the PBE-GGA level.

Unit cell a=5.797 b=3.033 c=6.371 alpha=104.09 beta=64.39 gamma=105.16
Sites, in units of the cell vectors:
Ge 0.734 0.103 0.455
Ge 0.089 0.083 0.054
B 0.951 0.876 0.780
B 0.872 0.310 0.728
Ag 0.495 0.763 0.009
Ag 0.327 0.423 0.499

Record 8
Below is AgGeB after structural relaxation, with properties calculated at the PBE-GGA level.

Unit cell a=3.040 b=5.800 c=5.882 alpha=107.74 beta=100.09 gamma=92.04
Sites, in units of the cell vectors:
Ge 0.539 0.452 0.282
Ge 0.441 0.047 0.941
B 0.489 0.726 0.103
B 0.975 0.807 0.048
Ag 0.344 0.991 0.483
Ag 0.173 0.504 0.677

Record 9
Below is AgGeB after structural relaxation, with properties calculated at the PBE-GGA level.

Unit cell a=5.234 b=6.345 c=3.065 alpha=76.14 beta=72.94 gamma=83.41
Sites, in units of the cell vectors:
Ge 0.660 0.988 0.813
Ge 0.116 0.654 0.755
B 0.225 0.005 0.022
B 0.088 0.001 0.593
Ag 0.681 0.577 0.511
Ag 0.329 0.323 0.313

Record 10
Below is AgGeB after structural relaxation, with properties calculated at the PBE-GGA level.

Unit cell a=7.097 b=3.516 c=4.920 alpha=107.18 beta=62.65 gamma=78.85
Sites, in units of the cell vectors:
Ge 0.809 0.006 0.546
Ge 0.100 0.129 0.783
B 0.910 0.816 0.032
B 0.824 0.595 0.772
Ag 0.313 0.531 0.057
Ag 0.512 0.976 0.336

Record 11
Below is AgGeB after structural relaxation, with properties calculated at the PBE-GGA level.

Unit cell a=2.955 b=2.955 c=10.145 alpha=90.00 beta=90.00 gamma=90.00
Sites, in units of the cell vectors:
Ge 0.000 0.500 0.328
Ge 0.500 0.000 0.672
B 0.000 0.000 0.500
B 0.500 0.500 0.500
Ag 0.000 0.500 0.899
Ag 0.500 0.000 0.101

Record 12
Below is AgGeB after structural relaxation, with properties calculated at the PBE-GGA level.

Unit cell a=6.395 b=3.096 c=4.955 alpha=108.47 beta=82.71 gamma=89.48
Sites, in units of the cell vectors:
Ge 0.695 0.902 0.359
Ge 0.129 0.797 0.150
B 0.928 0.625 0.805
B 0.894 0.074 0.704
Ag 0.520 0.201 0.957
Ag 0.302 0.498 0.552

Number 1: formation enthalpy at 0 K 9.8 kcal/mol of atoms. Number 2: formation enthalpy at 0 K 7.8 kcal/mol of atoms. Number 3: formation enthalpy at 0 K 9.4 kcal/mol of atoms. Number 4: formation enthalpy at 0 K 8.0 kcal/mol of atoms. Number 5: formation enthalpy at 0 K 13.3 kcal/mol of atoms. Number 6: formation enthalpy at 0 K 9.9 kcal/mol of atoms. Number 7: formation enthalpy at 0 K 7.5 kcal/mol of atoms. Number 8: formation enthalpy at 0 K 8.6 kcal/mol of atoms. Number 9: formation enthalpy at 0 K 9.7 kcal/mol of atoms. Number 10: formation enthalpy at 0 K 9.1 kcal/mol of atoms. Number 11: formation enthalpy at 0 K 12.9 kcal/mol of atoms. Number 12: formation enthalpy at 0 K 9.9 kcal/mol of atoms.